Sr2MnTlO6: optimized geometry, PBE+U.

a = 5.6548 Å, b = 5.6548 Å, c = 4.5487 Å
α = 90.00°, β = 90.00°, γ = 90.00°
With the nearest neighbours (Å) after each atom.
Fractional coordinates of all 10 atoms:
Sr1 0.0000 0.5000 0.0000  6 O 2.59-2.84
Sr2 0.5000 0.0000 0.0000  6 O 2.59-2.84
Mn1 0.0000 0.0000 0.5402  5 O 1.74-1.87
Tl1 0.5000 0.5000 0.5457  6 O 2.17-2.38
O1 0.0000 0.0000 0.1571  1 Mn 1.74
O2 0.2268 0.2268 0.6420  1 Mn 1.87
O3 0.2268 0.7732 0.6420  1 Mn 1.87
O4 0.5000 0.5000 0.0686  2 Tl 2.17-2.38
O5 0.7732 0.2268 0.6420  1 Mn 1.87
O6 0.7732 0.7732 0.6420  1 Mn 1.87

Computed properties:
Uncorrected energy = -59.27 eV/cell
N(E_F) = 4.4 states/eV per cell
Total magnetization = 2.0 μB per formula unit